(1)
{
  "formula": "Zr4InC2",
  "functional": "PBE",
  "state": "optimized geometry",
  "dft_energy_ev_per_cell": -59.790,
  "magmom_total_mub_per_fu": 0.000,
  "formation_enthalpy_0k_ev_per_atom": -0.630,
  "n_ef_per_ev_cell": 2.32,
  "cell": [[3.356, 0.000, 0.000], [1.678, 2.906, 0.000], [1.678, 0.969, 13.010]],
  "species": ["Zr", "Zr", "Zr", "Zr", "In", "C", "C"],
  "fractional_positions": [[0.130, 0.130, 0.610], [0.268, 0.268, 0.196], [0.732, 0.732, 0.804], [0.870, 0.870, 0.390], [0.000, 0.000, 0.000], [0.430, 0.430, 0.709], [0.570, 0.570, 0.291]]
}


(2)
{
  "formula": "Ir3C5",
  "functional": "PBE",
  "state": "optimized geometry",
  "dft_energy_ev_per_cell": -62.234,
  "relative_energy_ev_per_atom": 0.188,
  "magmom_total_mub_per_fu": 0.000,
  "formation_enthalpy_0k_ev_per_atom": 1.309,
  "n_ef_per_ev_cell": 4.04,
  "cell": [[-1.226, -1.639, -2.090], [2.632, -0.436, -1.202], [1.234, -8.135, 5.654]],
  "species": ["Ir", "Ir", "Ir", "C", "C", "C", "C", "C"],
  "fractional_positions": [[0.000, 0.000, 0.500], [0.500, 0.500, 0.221], [0.500, 0.500, 0.779], [0.000, 0.000, 0.000], [0.000, 0.000, 0.132], [0.000, 0.000, 0.868], [0.500, 0.500, 0.423], [0.500, 0.500, 0.577]]
}


(3)
{
  "formula": "Ir3C",
  "functional": "PBE",
  "state": "optimized geometry",
  "dft_energy_ev_per_cell": -30.277,
  "relative_energy_ev_per_atom": 0.888,
  "magmom_total_mub_per_fu": 0.000,
  "formation_enthalpy_0k_ev_per_atom": 1.382,
  "n_ef_per_ev_cell": 3.06,
  "cell": [[-0.791, 3.281, -2.963], [-3.469, -1.455, -2.453], [0.396, 0.257, 4.466]],
  "species": ["C", "Ir", "Ir", "Ir"],
  "fractional_positions": [[0.000, 0.000, 0.000], [0.250, 0.750, 0.500], [0.500, 0.500, 0.000], [0.750, 0.250, 0.500]]
}


(4)
{
  "formula": "Ir5C3",
  "functional": "PBE",
  "state": "optimized geometry",
  "dft_energy_ev_per_cell": -130.528,
  "relative_energy_ev_per_atom": 0.074,
  "magmom_total_mub_per_fu": 0.000,
  "formation_enthalpy_0k_ev_per_atom": 0.839,
  "n_ef_per_ev_cell": 9.58,
  "cell": [[-1.532, 1.151, 6.255], [5.911, -2.176, -1.770], [3.484, 4.965, 1.173]],
  "species": ["C", "C", "C", "C", "C", "C", "Ir", "Ir", "Ir", "Ir", "Ir", "Ir", "Ir", "Ir", "Ir", "Ir"],
  "fractional_positions": [[0.213, 0.100, 0.087], [0.600, 0.713, 0.087], [0.217, 0.717, 0.971], [0.782, 0.282, 0.997], [0.756, 0.771, 0.500], [0.271, 0.256, 0.500], [0.332, 0.832, 0.456], [0.704, 0.204, 0.523], [0.064, 0.326, 0.718], [0.976, 0.712, 0.246], [0.521, 0.323, 0.185], [0.502, 0.707, 0.787], [0.212, 0.476, 0.246], [0.826, 0.564, 0.718], [0.207, 0.002, 0.787], [0.823, 0.021, 0.185]]
}


(5)
{
  "formula": "Ir4C3",
  "functional": "PBE",
  "state": "optimized geometry",
  "dft_energy_ev_per_cell": -48.440,
  "relative_energy_ev_per_atom": 1.466,
  "magmom_total_mub_per_fu": 0.000,
  "formation_enthalpy_0k_ev_per_atom": 2.097,
  "n_ef_per_ev_cell": 6.65,
  "cell": [[2.664, 2.889, -1.009], [-2.845, -1.152, -2.653], [-3.717, 4.185, 2.169]],
  "species": ["Ir", "Ir", "Ir", "Ir", "C", "C", "C"],
  "fractional_positions": [[0.000, 0.000, 0.219], [0.000, 0.000, 0.781], [0.667, 0.333, 0.500], [0.333, 0.667, 0.500], [0.000, 0.500, 0.000], [0.500, 0.500, 0.000], [0.500, 0.000, 0.000]]
}


(6)
{
  "formula": "Ir4C3",
  "functional": "PBE",
  "state": "optimized geometry",
  "dft_energy_ev_per_cell": -54.496,
  "relative_energy_ev_per_atom": 0.601,
  "magmom_total_mub_per_fu": 0.000,
  "formation_enthalpy_0k_ev_per_atom": 1.231,
  "n_ef_per_ev_cell": 4.16,
  "cell": [[-7.521, -4.013, 5.567], [-9.466, -2.978, 2.277], [8.866, 1.714, -4.703]],
  "species": ["Ir", "Ir", "Ir", "Ir", "C", "C", "C"],
  "fractional_positions": [[0.823, 0.823, 0.000], [0.177, 0.177, 0.000], [0.565, 0.565, 0.000], [0.435, 0.435, 0.000], [0.000, 0.000, 0.000], [0.715, 0.715, 0.000], [0.285, 0.285, 0.000]]
}


(7)
{
  "formula": "Ir3C",
  "functional": "PBE",
  "state": "optimized geometry",
  "dft_energy_ev_per_cell": -33.179,
  "relative_energy_ev_per_atom": 0.163,
  "magmom_total_mub_per_fu": 0.000,
  "formation_enthalpy_0k_ev_per_atom": 0.657,
  "n_ef_per_ev_cell": 2.84,
  "cell": [[-0.902, 2.274, 1.259], [-3.604, -1.531, 0.185], [-1.069, -2.878, 4.431]],
  "species": ["C", "Ir", "Ir", "Ir"],
  "fractional_positions": [[0.000, 0.000, 0.000], [0.500, 0.845, 0.783], [0.000, 0.500, 0.500], [0.500, 0.155, 0.217]]
}


(8)
{
  "formula": "Ir3C4",
  "functional": "PBE",
  "state": "optimized geometry",
  "dft_energy_ev_per_cell": -55.606,
  "relative_energy_ev_per_atom": 0.076,
  "magmom_total_mub_per_fu": 0.000,
  "formation_enthalpy_0k_ev_per_atom": 1.125,
  "n_ef_per_ev_cell": 3.29,
  "cell": [[-3.230, 4.477, -1.814], [2.596, -3.467, -3.874], [-2.155, -1.570, -0.039]],
  "species": ["Ir", "Ir", "Ir", "C", "C", "C", "C"],
  "fractional_positions": [[0.000, 0.500, 0.000], [0.500, 0.500, 0.000], [0.500, 0.000, 0.000], [0.000, 0.000, 0.258], [0.000, 0.000, 0.742], [0.667, 0.333, 0.500], [0.333, 0.667, 0.500]]
}


(9)
{
  "formula": "Ir3C5",
  "functional": "PBE",
  "state": "optimized geometry",
  "dft_energy_ev_per_cell": -58.209,
  "relative_energy_ev_per_atom": 0.691,
  "magmom_total_mub_per_fu": 0.000,
  "formation_enthalpy_0k_ev_per_atom": 1.812,
  "n_ef_per_ev_cell": 4.34,
  "cell": [[-1.053, 6.235, -2.129], [0.559, -2.347, 6.220], [2.555, 0.405, -0.077]],
  "species": ["Ir", "Ir", "Ir", "C", "C", "C", "C", "C"],
  "fractional_positions": [[0.500, 0.500, 0.000], [0.813, 0.187, 0.500], [0.187, 0.813, 0.500], [0.000, 0.000, 0.000], [0.500, 0.000, 0.000], [0.000, 0.500, 0.000], [0.795, 0.795, 0.500], [0.205, 0.205, 0.500]]
}


(10)
{
  "formula": "IrC5",
  "functional": "PBE",
  "state": "optimized geometry",
  "dft_energy_ev_per_cell": -40.705,
  "relative_energy_ev_per_atom": 1.621,
  "magmom_total_mub_per_fu": 0.000,
  "formation_enthalpy_0k_ev_per_atom": 2.379,
  "n_ef_per_ev_cell": 4.25,
  "cell": [[-2.599, 1.817, -0.841], [-1.561, -0.976, 2.715], [2.008, 4.087, 2.623]],
  "species": ["Ir", "C", "C", "C", "C", "C"],
  "fractional_positions": [[0.500, 0.500, 0.000], [0.000, 0.000, 0.760], [0.000, 0.000, 0.240], [0.500, 0.500, 0.624], [0.500, 0.500, 0.376], [0.000, 0.000, 0.500]]
}


(11)
{
  "formula": "Ir3C",
  "functional": "PBE",
  "state": "optimized geometry",
  "dft_energy_ev_per_cell": -55.695,
  "relative_energy_ev_per_atom": 1.496,
  "magmom_total_mub_per_fu": 0.000,
  "formation_enthalpy_0k_ev_per_atom": 1.990,
  "n_ef_per_ev_cell": 11.56,
  "cell": [[-3.162, 3.391, 1.336], [-2.967, -3.422, 1.665], [2.117, 0.270, 4.327]],
  "species": ["Ir", "Ir", "Ir", "Ir", "Ir", "Ir", "C", "C"],
  "fractional_positions": [[0.750, 0.500, 0.000], [0.250, 0.500, 0.000], [0.000, 0.750, 0.500], [0.000, 0.250, 0.500], [0.500, 0.000, 0.250], [0.500, 0.000, 0.750], [0.000, 0.000, 0.000], [0.500, 0.500, 0.500]]
}


(12)
{
  "formula": "Ir3C",
  "functional": "PBE",
  "state": "optimized geometry",
  "dft_energy_ev_per_cell": -66.890,
  "relative_energy_ev_per_atom": 0.096,
  "magmom_total_mub_per_fu": 0.000,
  "formation_enthalpy_0k_ev_per_atom": 0.590,
  "n_ef_per_ev_cell": 8.74,
  "cell": [[-2.239, 4.811, -1.528], [-4.044, -2.849, -2.455], [-2.075, 0.088, 3.316]],
  "species": ["Ir", "Ir", "Ir", "Ir", "Ir", "Ir", "C", "C"],
  "fractional_positions": [[0.113, 0.887, 0.750], [0.887, 0.113, 0.250], [0.142, 0.372, 0.750], [0.858, 0.628, 0.250], [0.628, 0.858, 0.750], [0.372, 0.142, 0.250], [0.636, 0.364, 0.250], [0.364, 0.636, 0.750]]
}